(1)
An optimized crystal structure of U2NiOs, computed with PBE-GGA.

## Properties
Theoretical density, Mg/m³: 17.11
Final energy, eV per atom: -9.905
E_form, eV/atom: -0.008

Lattice parameters (Å, degrees): 2.9615 2.9615 8.0209 90.00 90.00 90.00
Last column: nearest neighbours and their distance in Å.
Element x y z (fractional)
U (0.0000, 0.0000, 0.7525)  4 Ni 2.89, 4 Os 2.91, 4 U 2.96
U (0.0000, 0.0000, 0.2475)  4 Ni 2.89, 4 Os 2.91, 4 U 2.96
Ni (0.5000, 0.5000, 0.0000)  8 U 2.89, 4 Ni 2.96
Os (0.5000, 0.5000, 0.5000)  8 U 2.91, 4 Os 2.96

---

(2)
An optimized crystal structure of MgAgH2Cl, computed with PBE-GGA.

## Properties
Theoretical density, Mg/m³: 3.61
Final energy, eV per atom: -2.738

Lattice parameters (Å, degrees): 3.8078 5.3851 3.8078 90.00 90.00 90.00
Last column: nearest neighbours and their distance in Å.
Element x y z (fractional)
H (0.0000, 0.0000, 0.5000)  2 Mg 1.90
H (0.5000, 0.0000, 0.0000)  2 Mg 1.90
Ag (0.5000, 0.5000, 0.5000)  4 Cl 2.69
Cl (0.0000, 0.5000, 0.0000)  4 Ag 2.69, 2 Mg 2.69
Mg (0.0000, 0.0000, 0.0000)  4 H 1.90

---

(3)
An optimized crystal structure of PuPt2O6, computed with PBE-GGA.

## Properties
Formation energy from raw total energies, eV per atom: -1.204
Theoretical density, Mg/m³: 9.51
Final energy, eV per atom: -7.444

Lattice parameters (Å, degrees): 3.3495 5.9485 6.6560 96.22 104.57 90.00
Last column: nearest neighbours and their distance in Å.
Element x y z (fractional)
O (0.9918, 0.7628, 0.9836)  1 Pt 2.08, 2 Pu 2.18
O (0.6756, 0.5552, 0.3512)  3 Pt 2.04-2.11
O (0.3244, 0.4448, 0.6488)  3 Pt 2.04-2.11
O (0.6685, 0.1254, 0.3370)  2 Pt 2.10, 1 Pu 2.22
O (0.3315, 0.8746, 0.6630)  2 Pt 2.10, 1 Pu 2.22
O (0.0082, 0.2372, 0.0164)  1 Pt 2.08, 2 Pu 2.18
Pu (0.5000, 0.0000, 0.0000)  6 O 2.18-2.22
Pt (0.8318, 0.6624, 0.6635)  6 O 2.04-2.11
Pt (0.1682, 0.3376, 0.3365)  6 O 2.04-2.11